# 1
Entry from Alexandria: a relaxed structure of Ac2Nd2Hg (PBE).

a = 3.931 Å, b = 3.931 Å, c = 12.201 Å
α = 99.27°, β = 99.27°, γ = 90.00°
Sites, in units of the cell vectors:
Ac 0.588 0.588 0.175
Ac 0.412 0.412 0.825
Nd 0.800 0.800 0.600
Nd 0.200 0.200 0.400
Hg 0.000 0.000 0.000

Values from the calculation:
- VASP energy (eV/atom) = -3.779
- formation enthalpy at 0 K (eV per atom) = -0.168
- M_tot (μB per formula unit) = 0.00
- theoretical density (Mg/m³) = 8.53

=====

# 2
Entry from Alexandria: a relaxed structure of AcNd2Hg6 (PBE).

a = 3.648 Å, b = 8.792 Å, c = 8.792 Å
α = 120.00°, β = 90.00°, γ = 90.00°
Sites, in units of the cell vectors:
Ac 0.000 0.000 0.000
Nd 0.000 0.333 0.667
Nd 0.000 0.667 0.333
Hg 0.500 0.337 0.337
Hg 0.500 0.663 0.663
Hg 0.500 0.000 0.663
Hg 0.500 0.663 0.000
Hg 0.500 0.337 0.000
Hg 0.500 0.000 0.337

Values from the calculation:
- VASP energy (eV/atom) = -2.149
- formation enthalpy at 0 K (eV per atom) = -0.432
- M_tot (μB per formula unit) = 0.44
- theoretical density (Mg/m³) = 11.69

=====

# 3
Entry from Alexandria: a relaxed structure of Ac3NdHg2 (PBE).

a = 4.002 Å, b = 4.002 Å, c = 13.427 Å
α = 90.00°, β = 90.00°, γ = 90.00°
Sites, in units of the cell vectors:
Ac 0.000 0.000 0.000
Ac 0.000 0.000 0.694
Ac 0.000 0.000 0.306
Nd 0.500 0.500 0.500
Hg 0.500 0.500 0.844
Hg 0.500 0.500 0.156

Values from the calculation:
- VASP energy (eV/atom) = -3.250
- formation enthalpy at 0 K (eV per atom) = -0.300
- M_tot (μB per formula unit) = 0.00
- theoretical density (Mg/m³) = 9.47

=====

# 4
Entry from Alexandria: a relaxed structure of AcNd2Hg4 (PBE).

a = 5.332 Å, b = 6.772 Å, c = 6.772 Å
α = 113.17°, β = 90.00°, γ = 90.00°
Sites, in units of the cell vectors:
Ac 0.500 0.500 0.500
Nd 0.000 0.764 0.236
Nd 0.000 0.236 0.764
Hg 0.000 0.776 0.776
Hg 0.000 0.224 0.224
Hg 0.500 0.000 0.500
Hg 0.500 0.500 0.000

Values from the calculation:
- VASP energy (eV/atom) = -2.491
- formation enthalpy at 0 K (eV per atom) = -0.369
- M_tot (μB per formula unit) = 0.00
- theoretical density (Mg/m³) = 9.73

=====

# 5
Entry from Alexandria: a relaxed structure of AcNd2Hg6 (PBE).

a = 3.843 Å, b = 8.986 Å, c = 8.986 Å
α = 57.19°, β = 77.65°, γ = 77.65°
Sites, in units of the cell vectors:
Ac 0.500 0.500 0.500
Nd 0.354 0.146 0.146
Nd 0.646 0.854 0.854
Hg 0.174 0.504 0.148
Hg 0.826 0.496 0.852
Hg 0.826 0.852 0.496
Hg 0.000 0.171 0.829
Hg 0.000 0.829 0.171
Hg 0.174 0.148 0.504

Values from the calculation:
- VASP energy (eV/atom) = -2.127
- formation enthalpy at 0 K (eV per atom) = -0.409
- M_tot (μB per formula unit) = 0.00
- theoretical density (Mg/m³) = 11.28

=====

# 6
Entry from Alexandria: a relaxed structure of AcNdHg (PBE).

a = 3.802 Å, b = 3.802 Å, c = 15.269 Å
α = 97.15°, β = 97.15°, γ = 90.00°
Sites, in units of the cell vectors:
Nd 0.057 0.057 0.114
Nd 0.943 0.943 0.886
Ac 0.650 0.650 0.299
Ac 0.350 0.350 0.701
Hg 0.779 0.779 0.558
Hg 0.221 0.221 0.442

Values from the calculation:
- VASP energy (eV/atom) = -3.071
- formation enthalpy at 0 K (eV per atom) = -0.011
- M_tot (μB per formula unit) = 0.00
- theoretical density (Mg/m³) = 8.74

=====

# 7
Entry from Alexandria: a relaxed structure of AcNdHg2 (PBE).

a = 5.562 Å, b = 6.846 Å, c = 6.846 Å
α = 109.59°, β = 90.00°, γ = 90.00°
Sites, in units of the cell vectors:
Ac 0.250 0.875 0.125
Ac 0.750 0.125 0.875
Nd 0.250 0.374 0.626
Nd 0.750 0.626 0.374
Hg 0.750 0.614 0.857
Hg 0.750 0.143 0.386
Hg 0.250 0.386 0.143
Hg 0.250 0.857 0.614

Values from the calculation:
- VASP energy (eV/atom) = -2.829
- formation enthalpy at 0 K (eV per atom) = -0.459
- M_tot (μB per formula unit) = 0.70
- theoretical density (Mg/m³) = 10.45

=====

# 8
Entry from Alexandria: a relaxed structure of AcNd3Hg2 (PBE).

a = 5.548 Å, b = 9.848 Å, c = 9.174 Å
α = 123.80°, β = 90.00°, γ = 106.36°
Sites, in units of the cell vectors:
Ac 0.871 0.743 0.931
Ac 0.129 0.257 0.069
Nd 0.302 0.603 0.607
Nd 0.935 0.870 0.591
Nd 0.620 0.240 0.714
Nd 0.380 0.760 0.286
Nd 0.065 0.130 0.409
Nd 0.698 0.397 0.393
Hg 0.501 0.002 0.839
Hg 0.499 0.998 0.161
Hg 0.774 0.548 0.154
Hg 0.226 0.452 0.846

Values from the calculation:
- VASP energy (eV/atom) = -3.431
- formation enthalpy at 0 K (eV per atom) = -0.262
- M_tot (μB per formula unit) = 0.00
- theoretical density (Mg/m³) = 8.99

=====

# 9
Entry from Alexandria: a relaxed structure of AcNdHg2 (PBE).

a = 3.932 Å, b = 3.932 Å, c = 7.925 Å
α = 90.00°, β = 90.00°, γ = 90.00°
Sites, in units of the cell vectors:
Ac 0.500 0.500 0.500
Nd 0.500 0.500 0.000
Hg 0.000 0.000 0.771
Hg 0.000 0.000 0.229

Values from the calculation:
- VASP energy (eV/atom) = -2.834
- formation enthalpy at 0 K (eV per atom) = -0.464
- M_tot (μB per formula unit) = 0.71
- theoretical density (Mg/m³) = 10.47

=====

# 10
Entry from Alexandria: a relaxed structure of Ac6NdHg2 (PBE).

a = 4.033 Å, b = 7.204 Å, c = 12.958 Å
α = 75.57°, β = 81.05°, γ = 73.74°
Sites, in units of the cell vectors:
Ac 0.684 0.508 0.123
Ac 0.316 0.492 0.877
Ac 0.314 0.780 0.591
Ac 0.971 0.730 0.329
Ac 0.029 0.270 0.671
Ac 0.686 0.220 0.409
Nd 0.000 0.000 0.000
Hg 0.361 0.094 0.184
Hg 0.639 0.906 0.816

Values from the calculation:
- VASP energy (eV/atom) = -3.525
- formation enthalpy at 0 K (eV per atom) = -0.190
- M_tot (μB per formula unit) = 0.00
- theoretical density (Mg/m³) = 9.09

=====

What is the M_tot in the seventh record? 0.70 μB per formula unit